[1]
Compound: ReTe2Au
Source: the Alexandria database
Functional: GGA-PBEsol
Structure: optimized geometry

Cell and atoms, written as POSCAR:
```
ReTe2Au
1.0
3.379 0.000 0.000
0.000 4.851 0.011
0.000 -0.807 4.784
Re Au Te
1 1 2
Cartesian
1.689 2.022 2.397 Re
1.689 0.000 0.000 Au
0.000 -0.404 2.392 Te
0.000 2.426 0.005 Te
```

Calculated values
SG: No. 65
size of the total moment: 0.0 μB per formula unit
calculated total energy: -5.28 eV/atom
energy above the most stable polymorph in this dataset: 0.273 eV per atom
energy relative to the elements, uncorrected: 0.80 eV/atom
DOS(E_F): 3.90 states/eV/f.u.

[2]
Compound: RbPdBr3
Source: the Alexandria database
Functional: GGA-PBEsol
Structure: optimized geometry

Cell and atoms, written as POSCAR:
```
RbPdBr3
1.0
5.154 0.000 0.000
0.000 5.154 0.000
0.000 0.000 5.154
Pd Rb Br
1 1 3
Cartesian
0.000 0.000 0.000 Pd
2.577 2.577 2.577 Rb
2.577 0.000 0.000 Br
0.000 2.577 0.000 Br
0.000 0.000 2.577 Br
```

Calculated values
SG: No. 221
size of the total moment: 0.0 μB per formula unit
calculated total energy: -3.43 eV/atom
energy relative to the elements, uncorrected: -0.91 eV/atom
DOS(E_F): 1.11 states/eV/f.u.

[3]
Compound: Be3CdW
Source: the Alexandria database
Functional: GGA-PBEsol
Structure: optimized geometry

Cell and atoms, written as POSCAR:
```
Be3CdW
1.0
4.149 0.000 0.000
0.000 4.149 0.000
0.000 0.000 4.149
Be Cd W
3 1 1
Cartesian
0.000 0.000 2.075 Be
0.000 2.075 0.000 Be
2.075 0.000 0.000 Be
0.000 0.000 0.000 Cd
2.075 2.075 2.075 W
```

Calculated values
SG: No. 221
size of the total moment: 0.0 μB per formula unit
calculated total energy: -3.74 eV/atom
formation energy: 1.658 eV per atom
DOS(E_F): 3.38 states/eV/f.u.

[4]
Compound: ScReOs2
Source: the Alexandria database
Functional: GGA-PBEsol
Structure: optimized geometry

Cell and atoms, written as POSCAR:
```
ScReOs2
1.0
2.979 0.000 0.000
0.000 4.537 0.000
-1.490 -2.269 4.485
Re Os Sc
1 2 1
Cartesian
1.490 0.000 0.000 Re
0.000 0.000 2.145 Os
1.490 2.269 2.340 Os
0.000 2.269 0.000 Sc
```

Calculated values
SG: No. 71
size of the total moment: 0.0 μB per formula unit
calculated total energy: -10.97 eV/atom
formation energy: 0.127 eV per atom
DOS(E_F): 3.79 states/eV/f.u.

[5]
Compound: ScSiPt2
Source: the Alexandria database
Functional: GGA-PBEsol
Structure: optimized geometry

Cell and atoms, written as POSCAR:
```
ScSiPt2
1.0
3.687 0.000 0.000
-1.843 4.863 0.000
0.000 0.000 6.950
Si Pt Sc
2 4 2
Cartesian
0.000 2.255 5.212 Si
1.843 2.608 1.737 Si
1.843 1.347 3.813 Pt
0.000 3.516 0.338 Pt
1.843 1.347 6.612 Pt
0.000 3.516 3.137 Pt
1.843 4.370 5.212 Sc
0.000 0.493 1.737 Sc
```

Calculated values
SG: No. 63
size of the total moment: 0.0 μB per formula unit
calculated total energy: -7.76 eV/atom
energy relative to the elements, uncorrected: -1.19 eV/atom
DOS(E_F): 1.02 states/eV/f.u.

[6]
Compound: CaMn2Be
Source: the Alexandria database
Functional: GGA-PBEsol
Structure: optimized geometry

Cell and atoms, written as POSCAR:
```
CaMn2Be
1.0
-1.982 -3.873 0.674
-0.333 -2.905 -3.292
2.378 -3.705 0.084
Mn Ca Be
2 1 1
Cartesian
0.000 0.000 0.000 Mn
0.047 -7.862 -1.900 Mn
0.016 -2.621 -0.633 Ca
0.031 -5.242 -1.267 Be
```

Calculated values
SG: No. 216
size of the total moment: 0.0 μB per formula unit
calculated total energy: -5.80 eV/atom
formation energy: 0.610 eV per atom
DOS(E_F): 1.70 states/eV/f.u.

Question: The lowest DOS(E_F) belongs to which entry?
Answer: ScSiPt2

Question: The lowest DOS(E_F) belongs to which entry?
Answer: ScSiPt2

Question: Which value of size of the total moment does entry 2 give?
Answer: 0.0 μB per formula unit

Question: Number 5 is which compound?
Answer: ScSiPt2